one.
# SrScZn3 | Alexandria | PBE | optimized geometry
data_SrScZn3
_symmetry_space_group_name_H-M 'P 1'
_symmetry_Int_Tables_number 1
_cell_length_a 5.4226
_cell_length_b 5.4226
_cell_length_c 5.4226
_cell_angle_alpha 90.00
_cell_angle_beta 90.00
_cell_angle_gamma 90.00
loop_
_symmetry_equiv_pos_as_xyz
'x,y,z'
loop_
_atom_site_label
_atom_site_type_symbol
_atom_site_fract_x
_atom_site_fract_y
_atom_site_fract_z
_atom_site_occupancy
Sr1 Sr 0.0000 0.0000 0.0000 1
Sc1 Sc 0.5000 0.5000 0.5000 1
Zn1 Zn 0.0000 0.0000 0.5000 1
Zn2 Zn 0.0000 0.5000 0.0000 1
Zn3 Zn 0.5000 0.0000 0.0000 1
# Space group   No. 221

---

two.
# SrScZn3 | Alexandria | PBE | optimized geometry
data_SrScZn3
_symmetry_space_group_name_H-M 'P 1'
_symmetry_Int_Tables_number 1
_cell_length_a 5.2289
_cell_length_b 5.2289
_cell_length_c 5.2289
_cell_angle_alpha 90.00
_cell_angle_beta 90.00
_cell_angle_gamma 90.00
loop_
_symmetry_equiv_pos_as_xyz
'x,y,z'
loop_
_atom_site_label
_atom_site_type_symbol
_atom_site_fract_x
_atom_site_fract_y
_atom_site_fract_z
_atom_site_occupancy
Sr1 Sr 0.0000 0.0000 0.0000 1
Sc1 Sc 0.5000 0.5000 0.5000 1
Zn1 Zn 0.0000 0.5000 0.5000 1
Zn2 Zn 0.5000 0.0000 0.5000 1
Zn3 Zn 0.5000 0.5000 0.0000 1
# Space group   No. 221

---

Question: of the structures shown, which is the most stable? Reply: two.